A plane-wave DFT calculation with GGA-PBE was carried out for crystalline ZrTe3Br at its relaxed geometry.

* ΔE_f (raw): 4.041 eV per formula unit
* space-group type: Pm-3m
* total DFT energy (no corrections): -3.121 eV/atom
* spin magnetization: 1.05 μB per formula unit

abc: 5.4568 5.4568 5.4568
angles: 90.00 90.00 90.00
Positions (direct):
Zr 0.0000 0.0000 0.0000
Te 0.0000 0.5000 0.5000
Te 0.5000 0.0000 0.5000
Te 0.5000 0.5000 0.0000
Br 0.5000 0.5000 0.5000